K2AgMoO4: relaxed, PBE+U.

Total moment   1.0 μB per formula unit
SG   I-4, No. 82
Raw total energy   -42.78 eV per cell

abc: 5.968 5.968 5.968
angles: 91.92 118.90 118.90
Last column: magnetic moment on the atom in μB.
Atoms (fractional coordinates):
K 0.500 0.750 0.250  0.00
O 0.040 0.221 0.605  0.02
Ag 0.500 0.250 0.750  0.00
O 0.616 0.395 0.435  0.02
K 0.000 0.000 0.000  0.00
O 0.384 0.819 0.779  0.02
O 0.960 0.565 0.181  0.02
Mo 0.000 0.500 0.500  0.85